Entry 1:
A relaxed NaAl2Ag crystal. Source: the Alexandria database, functional PBE.

a b c (Å): 10.387 10.387 10.387
angles (deg): 157.22 157.22 32.44
Sites, in units of the cell vectors:
Na1 0.000 0.000 0.000
Na2 0.750 0.250 0.500
Al1 0.148 0.625 0.023
Al2 0.375 0.398 0.523
Al3 0.602 0.125 0.977
Al4 0.875 0.852 0.477
Ag1 0.250 0.750 0.500
Ag2 0.500 0.500 0.000

Properties
Calculated formation energy in eV per atom: 0.264
Energy in eV per atom: -2.650
Symmetry: No. 122



Entry 2:
A relaxed NaAl3Ag9 crystal. Source: the Alexandria database, functional PBE.

a b c (Å): 7.252 7.252 7.035
angles (deg): 97.30 97.30 136.36
Sites, in units of the cell vectors:
Na1 0.000 0.000 0.000
Al1 0.000 0.500 0.000
Al2 0.500 0.000 0.000
Al3 0.500 0.500 0.500
Ag1 0.000 0.000 0.500
Ag2 0.019 0.667 0.660
Ag3 0.298 0.518 0.784
Ag4 0.333 0.981 0.340
Ag5 0.482 0.702 0.216
Ag6 0.518 0.298 0.784
Ag7 0.667 0.019 0.660
Ag8 0.702 0.482 0.216
Ag9 0.981 0.333 0.340

Properties
Calculated formation energy in eV per atom: -0.060
Energy in eV per atom: -2.999
Symmetry: No. 12



Entry 3:
A relaxed NaAl2Ag5 crystal. Source: the Alexandria database, functional PBE.

a b c (Å): 6.903 6.903 6.903
angles (deg): 148.69 109.72 78.95
Sites, in units of the cell vectors:
Na1 0.000 0.000 0.000
Al1 0.247 0.747 0.500
Al2 0.753 0.253 0.500
Ag1 0.153 0.356 0.797
Ag2 0.441 0.644 0.797
Ag3 0.500 0.000 0.500
Ag4 0.559 0.356 0.203
Ag5 0.847 0.644 0.203

Properties
Calculated formation energy in eV per atom: 0.015
Energy in eV per atom: -2.867
Symmetry: No. 71



Entry 4:
A relaxed NaAl2Ag9 crystal. Source: the Alexandria database, functional PBE.

a b c (Å): 8.787 8.787 8.787
angles (deg): 99.72 99.72 131.48
Sites, in units of the cell vectors:
Na1 0.375 0.625 0.750
Na2 0.625 0.375 0.250
Al1 0.000 0.000 0.000
Al2 0.000 0.000 0.500
Al3 0.000 0.500 0.000
Al4 0.500 0.000 0.500
Ag1 0.125 0.875 0.250
Ag2 0.134 0.561 0.329
Ag3 0.134 0.805 0.573
Ag4 0.195 0.268 0.329
Ag5 0.195 0.866 0.927
Ag6 0.268 0.195 0.829
Ag7 0.268 0.439 0.073
Ag8 0.439 0.268 0.573
Ag9 0.439 0.866 0.171
Ag10 0.561 0.134 0.829
Ag11 0.561 0.732 0.427
Ag12 0.732 0.561 0.927
Ag13 0.732 0.805 0.171
Ag14 0.805 0.134 0.073
Ag15 0.805 0.732 0.671
Ag16 0.866 0.195 0.427
Ag17 0.866 0.439 0.671
Ag18 0.875 0.125 0.750

Properties
Calculated formation energy in eV per atom: -0.012
Energy in eV per atom: -2.884
Symmetry: No. 141



Entry 5:
A relaxed NaAl3Ag crystal. Source: the Alexandria database, functional PBE.

a b c (Å): 7.204 7.204 5.375
angles (deg): 90.00 90.00 133.95
Sites, in units of the cell vectors:
Na1 0.075 0.925 0.750
Na2 0.925 0.075 0.250
Al1 0.095 0.422 0.750
Al2 0.328 0.672 0.250
Al3 0.422 0.095 0.250
Al4 0.578 0.905 0.750
Al5 0.672 0.328 0.750
Al6 0.905 0.578 0.250
Ag1 0.500 0.500 0.000
Ag2 0.500 0.500 0.500

Properties
Calculated formation energy in eV per atom: 0.063
Energy in eV per atom: -3.017
Distance to the lowest polymorph of the same formula in eV/f.u.: 0.00
Symmetry: No. 63



Entry 6:
A relaxed NaAl2Ag crystal. Source: the Alexandria database, functional PBE.

a b c (Å): 15.911 7.460 5.410
angles (deg): 90.00 90.00 90.00
Sites, in units of the cell vectors:
Na1 0.110 0.250 0.225
Na2 0.142 0.750 0.445
Na3 0.358 0.250 0.945
Na4 0.390 0.750 0.725
Na5 0.610 0.250 0.275
Na6 0.642 0.750 0.055
Na7 0.858 0.250 0.555
Na8 0.890 0.750 0.775
Al1 0.034 0.060 0.735
Al2 0.034 0.440 0.735
Al3 0.213 0.560 0.918
Al4 0.213 0.940 0.918
Al5 0.287 0.060 0.418
Al6 0.287 0.440 0.418
Al7 0.466 0.560 0.235
Al8 0.466 0.940 0.235
Al9 0.534 0.060 0.765
Al10 0.534 0.440 0.765
Al11 0.713 0.560 0.582
Al12 0.713 0.940 0.582
Al13 0.787 0.060 0.082
Al14 0.787 0.440 0.082
Al15 0.966 0.560 0.265
Al16 0.966 0.940 0.265
Ag1 0.069 0.750 0.959
Ag2 0.183 0.250 0.709
Ag3 0.317 0.750 0.209
Ag4 0.431 0.250 0.459
Ag5 0.569 0.750 0.541
Ag6 0.683 0.250 0.791
Ag7 0.817 0.750 0.291
Ag8 0.931 0.250 0.041

Properties
Calculated formation energy in eV per atom: -0.012
Energy in eV per atom: -2.926
Symmetry: No. 62



Entry 7:
A relaxed NaAl2Ag6 crystal. Source: the Alexandria database, functional PBE.

a b c (Å): 5.677 5.677 7.042
angles (deg): 90.00 90.00 120.00
Sites, in units of the cell vectors:
Na1 0.000 0.000 0.000
Al1 0.333 0.667 0.500
Al2 0.667 0.333 0.500
Ag1 0.000 0.500 0.201
Ag2 0.000 0.500 0.799
Ag3 0.500 0.000 0.201
Ag4 0.500 0.000 0.799
Ag5 0.500 0.500 0.201
Ag6 0.500 0.500 0.799

Properties
Calculated formation energy in eV per atom: 0.085
Energy in eV per atom: -2.794
Symmetry: No. 191



Entry 8:
A relaxed NaAl4Ag8 crystal. Source: the Alexandria database, functional PBE.

a b c (Å): 6.362 6.362 6.362
angles (deg): 89.94 89.94 89.94
Sites, in units of the cell vectors:
Na1 0.000 0.000 0.000
Al1 0.000 0.500 0.500
Al2 0.500 0.000 0.500
Al3 0.500 0.500 0.000
Al4 0.500 0.500 0.500
Ag1 0.255 0.255 0.255
Ag2 0.255 0.744 0.744
Ag3 0.256 0.256 0.745
Ag4 0.256 0.745 0.256
Ag5 0.744 0.255 0.744
Ag6 0.744 0.744 0.255
Ag7 0.745 0.256 0.256
Ag8 0.745 0.745 0.745

Properties
Calculated formation energy in eV per atom: 0.131
Energy in eV per atom: -2.877
Distance to the lowest polymorph of the same formula in eV/f.u.: 2.82
Symmetry: No. 166



Entry 9:
A relaxed NaAl3Ag crystal. Source: the Alexandria database, functional PBE.

a b c (Å): 6.541 6.541 5.731
angles (deg): 90.00 90.00 120.00
Sites, in units of the cell vectors:
Na1 0.333 0.667 0.250
Na2 0.667 0.333 0.750
Al1 0.196 0.392 0.750
Al2 0.196 0.804 0.750
Al3 0.392 0.196 0.250
Al4 0.608 0.804 0.750
Al5 0.804 0.196 0.250
Al6 0.804 0.608 0.250
Ag1 0.000 0.000 0.000
Ag2 0.000 0.000 0.500

Properties
Calculated formation energy in eV per atom: 0.187
Energy in eV per atom: -2.893
Distance to the lowest polymorph of the same formula in eV/f.u.: 0.62
Symmetry: No. 194



Entry 10:
A relaxed NaAl4Ag crystal. Source: the Alexandria database, functional PBE.

a b c (Å): 4.521 5.225 10.712
angles (deg): 104.03 101.89 90.49
Sites, in units of the cell vectors:
Na1 0.250 0.219 0.000
Na2 0.750 0.781 0.000
Al1 0.079 0.999 0.659
Al2 0.141 0.551 0.782
Al3 0.359 0.771 0.217
Al4 0.420 0.340 0.341
Al5 0.580 0.660 0.659
Al6 0.641 0.229 0.783
Al7 0.859 0.449 0.218
Al8 0.921 0.001 0.341
Ag1 0.000 0.500 0.500
Ag2 0.500 0.000 0.500

Properties
Calculated formation energy in eV per atom: 0.101
Energy in eV per atom: -3.089
Distance to the lowest polymorph of the same formula in eV/f.u.: 0.00
Symmetry: No. 2



Entry 11:
A relaxed NaAlAg3 crystal. Source: the Alexandria database, functional PBE.

a b c (Å): 4.981 4.981 4.981
angles (deg): 90.00 90.00 90.00
Sites, in units of the cell vectors:
Na1 0.000 0.000 0.000
Al1 0.500 0.500 0.500
Ag1 0.000 0.500 0.500
Ag2 0.500 0.000 0.500
Ag3 0.500 0.500 0.000

Properties
Calculated formation energy in eV per atom: 0.193
Energy in eV per atom: -2.530
Distance to the lowest polymorph of the same formula in eV/f.u.: 1.08
Symmetry: No. 221



Entry 12:
A relaxed NaAl4Ag4 crystal. Source: the Alexandria database, functional PBE.

a b c (Å): 6.782 6.782 6.782
angles (deg): 97.27 97.27 138.31
Sites, in units of the cell vectors:
Na1 0.000 0.000 0.000
Al1 0.104 0.607 0.710
Al2 0.393 0.104 0.497
Al3 0.607 0.896 0.503
Al4 0.896 0.393 0.290
Ag1 0.194 0.317 0.510
Ag2 0.317 0.806 0.123
Ag3 0.683 0.194 0.877
Ag4 0.806 0.683 0.490

Properties
Calculated formation energy in eV per atom: -0.063
Energy in eV per atom: -3.140
Symmetry: No. 87



Entry 13:
A relaxed NaAlAg crystal. Source: the Alexandria database, functional PBE.

a b c (Å): 12.990 12.990 12.990
angles (deg): 165.55 165.55 20.49
Sites, in units of the cell vectors:
Na1 0.070 0.070 0.000
Na2 0.930 0.930 0.000
Al1 0.342 0.342 0.000
Al2 0.658 0.658 0.000
Ag1 0.215 0.215 0.000
Ag2 0.785 0.785 0.000

Properties
Calculated formation energy in eV per atom: 0.060
Energy in eV per atom: -2.578
Symmetry: No. 139



Entry 14:
A relaxed NaAl2Ag crystal. Source: the Alexandria database, functional PBE.

a b c (Å): 4.709 4.709 4.709
angles (deg): 60.00 60.00 60.00
Sites, in units of the cell vectors:
Na1 0.000 0.000 0.000
Al1 0.250 0.250 0.250
Al2 0.750 0.750 0.750
Ag1 0.500 0.500 0.500

Properties
Calculated formation energy in eV per atom: 0.139
Energy in eV per atom: -2.775
Symmetry: No. 225



Entry 15:
A relaxed NaAl3Ag crystal. Source: the Alexandria database, functional PBE.

a b c (Å): 4.996 4.996 4.996
angles (deg): 90.00 90.00 90.00
Sites, in units of the cell vectors:
Na1 0.000 0.000 0.000
Al1 0.000 0.500 0.500
Al2 0.500 0.000 0.500
Al3 0.500 0.500 0.000
Ag1 0.500 0.500 0.500

Properties
Calculated formation energy in eV per atom: 0.414
Energy in eV per atom: -2.666
Distance to the lowest polymorph of the same formula in eV/f.u.: 1.75
Symmetry: No. 221



Entry 16:
A relaxed NaAl4Ag crystal. Source: the Alexandria database, functional PBE.

a b c (Å): 5.480 5.480 5.480
angles (deg): 60.00 60.00 60.00
Sites, in units of the cell vectors:
Na1 0.000 0.000 0.000
Al1 0.124 0.625 0.625
Al2 0.625 0.124 0.625
Al3 0.625 0.625 0.124
Al4 0.625 0.625 0.625
Ag1 0.250 0.250 0.250

Properties
Calculated formation energy in eV per atom: 0.125
Energy in eV per atom: -3.066
Distance to the lowest polymorph of the same formula in eV/f.u.: 0.14
Symmetry: No. 216



Entry 17:
A relaxed Na2Al9Ag6 crystal. Source: the Alexandria database, functional PBE.

a b c (Å): 5.462 5.462 13.464
angles (deg): 90.00 90.00 120.00
Sites, in units of the cell vectors:
Na1 0.000 0.000 0.166
Na2 0.000 0.000 0.834
Al1 0.000 0.500 0.000
Al2 0.000 0.500 0.335
Al3 0.000 0.500 0.665
Al4 0.500 0.000 0.000
Al5 0.500 0.000 0.335
Al6 0.500 0.000 0.665
Al7 0.500 0.500 0.000
Al8 0.500 0.500 0.335
Al9 0.500 0.500 0.665
Ag1 0.333 0.667 0.168
Ag2 0.333 0.667 0.500
Ag3 0.333 0.667 0.832
Ag4 0.667 0.333 0.168
Ag5 0.667 0.333 0.500
Ag6 0.667 0.333 0.832

Properties
Calculated formation energy in eV per atom: 0.048
Energy in eV per atom: -3.095
Symmetry: No. 191



Entry 18:
A relaxed NaAl4Ag8 crystal. Source: the Alexandria database, functional PBE.

a b c (Å): 7.124 7.124 7.124
angles (deg): 98.36 98.36 135.17
Sites, in units of the cell vectors:
Na1 0.000 0.000 0.000
Al1 0.000 0.000 0.500
Al2 0.000 0.500 0.000
Al3 0.500 0.000 0.000
Al4 0.500 0.500 0.500
Ag1 0.000 0.341 0.341
Ag2 0.000 0.659 0.659
Ag3 0.280 0.500 0.780
Ag4 0.341 0.000 0.341
Ag5 0.500 0.280 0.780
Ag6 0.500 0.720 0.220
Ag7 0.659 0.000 0.659
Ag8 0.720 0.500 0.220

Properties
Calculated formation energy in eV per atom: -0.086
Energy in eV per atom: -3.094
Distance to the lowest polymorph of the same formula in eV/f.u.: 0.00
Symmetry: No. 139



Entry 19:
A relaxed Na2AlAg crystal. Source: the Alexandria database, functional PBE.

a b c (Å): 11.258 11.258 11.258
angles (deg): 15.77 15.77 15.77
Sites, in units of the cell vectors:
Na1 0.092 0.092 0.092
Na2 0.908 0.908 0.908
Al1 0.000 0.000 0.000
Ag1 0.500 0.500 0.500

Properties
Calculated formation energy in eV per atom: 0.228
Energy in eV per atom: -2.080
Symmetry: No. 166



Entry 20:
A relaxed NaAl8Ag6 crystal. Source: the Alexandria database, functional PBE.

a b c (Å): 6.941 6.941 6.941
angles (deg): 68.15 68.15 68.15
Sites, in units of the cell vectors:
Na1 0.000 0.000 0.000
Al1 0.142 0.809 0.460
Al2 0.191 0.540 0.858
Al3 0.229 0.229 0.229
Al4 0.460 0.142 0.809
Al5 0.540 0.858 0.191
Al6 0.771 0.771 0.771
Al7 0.809 0.460 0.142
Al8 0.858 0.191 0.540
Ag1 0.156 0.337 0.601
Ag2 0.337 0.601 0.156
Ag3 0.399 0.844 0.663
Ag4 0.601 0.156 0.337
Ag5 0.663 0.399 0.844
Ag6 0.844 0.663 0.399

Properties
Calculated formation energy in eV per atom: 0.007
Energy in eV per atom: -3.218
Symmetry: No. 148